Record 1
The following is a DFT calculation (PBE) of Sm6Y3Tm after structural relaxation.

Lattice parameters (Å, degrees): 6.2219 11.1540 11.1540 120.16 90.00 90.00
Closest atoms and distances in Å follow each position.
Sites, in units of the cell vectors:
Sm: 0.9253 0.0434 0.9566  1 Tm 3.31, 4 Y 3.52-3.65, 2 Sm 3.53
Y: 0.4652 0.9438 0.7222  6 Sm 3.30-3.65, 1 Tm 3.33
Sm: 0.0371 0.7112 0.6215  5 Sm 3.48-3.78, 4 Y 3.49-3.69
Y: 0.0702 0.3874 0.6126  7 Sm 3.40-3.71, 1 Tm 3.59, 2 Y 3.76
Sm: 0.4253 0.9566 0.0434  1 Tm 3.31, 4 Y 3.52-3.65, 2 Sm 3.53
Sm: 0.3596 0.0523 0.4742  5 Sm 3.17-3.48, 1 Y 3.30, 2 Tm 3.36-3.45
Y: 0.5702 0.6126 0.3874  7 Sm 3.40-3.71, 1 Tm 3.59, 2 Y 3.76
Sm: 0.0371 0.3785 0.2888  5 Sm 3.48-3.78, 4 Y 3.49-3.69
Tm: 0.6239 0.7976 0.2024  7 Sm 3.31-3.54, 3 Y 3.33-3.59
Y: 0.9652 0.7222 0.9438  6 Sm 3.30-3.65, 1 Tm 3.33
Y: 0.9652 0.0562 0.2778  6 Sm 3.30-3.65, 1 Tm 3.33
Sm: 0.1421 0.7216 0.2784  4 Sm 3.17-3.48, 2 Tm 3.34-3.54, 1 Y 3.40
Tm: 0.1239 0.2024 0.7976  7 Sm 3.31-3.54, 3 Y 3.33-3.59
Sm: 0.8596 0.9477 0.5258  5 Sm 3.17-3.48, 1 Y 3.30, 2 Tm 3.36-3.45
Sm: 0.5371 0.2888 0.3785  5 Sm 3.48-3.78, 4 Y 3.49-3.69
Sm: 0.6421 0.2784 0.7216  4 Sm 3.17-3.48, 2 Tm 3.34-3.54, 1 Y 3.40
Y: 0.4652 0.2778 0.0562  6 Sm 3.30-3.65, 1 Tm 3.33
Sm: 0.5371 0.6215 0.7112  5 Sm 3.48-3.78, 4 Y 3.49-3.69
Sm: 0.8596 0.4742 0.0523  5 Sm 3.17-3.48, 1 Y 3.30, 2 Tm 3.36-3.45
Sm: 0.3596 0.5258 0.9477  5 Sm 3.17-3.48, 1 Y 3.30, 2 Tm 3.36-3.45

Results
Spin magnetization in μB/f.u.: 0.0
Symmetry: Cmc2_1, No. 36
DFT total energy in eV per atom: -5.08
Relative energy among the computed polymorphs in meV per atom: 0.0

=====

Record 2
The following is a DFT calculation (PBE) of Sm5Y6Tm2 after structural relaxation.

Lattice parameters (Å, degrees): 3.5867 11.6744 20.5114 90.00 90.00 90.00
Closest atoms and distances in Å follow each position.
Sites, in units of the cell vectors:
Sm: 0.5000 0.8006 0.0501  6 Y 3.53-3.64, 3 Sm 3.59-3.66, 2 Tm 3.73
Sm: 0.5000 0.5000 0.0000  6 Y 3.37-3.50, 4 Sm 3.59-3.66
Y: 0.0000 0.9411 0.9181  6 Sm 3.51-3.64, 5 Y 3.59-3.78, 1 Tm 3.72
Y: 0.0000 0.5589 0.4181  6 Sm 3.51-3.64, 5 Y 3.59-3.78, 1 Tm 3.72
Y: 0.0000 0.0589 0.0819  6 Sm 3.51-3.64, 5 Y 3.59-3.78, 1 Tm 3.72
Sm: 0.5000 0.4147 0.7284  5 Y 3.35-3.51, 4 Tm 3.49-3.62, 2 Sm 3.59
Y: 0.0000 0.4173 0.8692  1 Tm 3.31, 6 Sm 3.37-3.53, 4 Y 3.50-3.59
Tm: 0.0000 0.3308 0.2912  3 Y 3.31-3.60, 4 Sm 3.49-3.62, 2 Tm 3.59
Y: 0.5000 0.3258 0.1390  2 Sm 3.35-3.50, 4 Y 3.50-3.59, 2 Tm 3.60
Y: 0.0000 0.0827 0.3692  1 Tm 3.31, 6 Sm 3.37-3.53, 4 Y 3.50-3.59
Sm: 0.5000 0.5853 0.2716  5 Y 3.35-3.51, 4 Tm 3.49-3.62, 2 Sm 3.59
Sm: 0.5000 0.6994 0.5501  6 Y 3.53-3.64, 3 Sm 3.59-3.66, 2 Tm 3.73
Y: 0.5000 0.6742 0.8610  2 Sm 3.35-3.50, 4 Y 3.50-3.59, 2 Tm 3.60
Sm: 0.5000 0.9147 0.7716  5 Y 3.35-3.51, 4 Tm 3.49-3.62, 2 Sm 3.59
Tm: 0.0000 0.1692 0.7912  3 Y 3.31-3.60, 4 Sm 3.49-3.62, 2 Tm 3.59
Sm: 0.5000 0.1994 0.9499  6 Y 3.53-3.64, 3 Sm 3.59-3.66, 2 Tm 3.73
Sm: 0.5000 0.0853 0.2284  5 Y 3.35-3.51, 4 Tm 3.49-3.62, 2 Sm 3.59
Tm: 0.0000 0.8308 0.2088  3 Y 3.31-3.60, 4 Sm 3.49-3.62, 2 Tm 3.59
Y: 0.0000 0.9173 0.6308  1 Tm 3.31, 6 Sm 3.37-3.53, 4 Y 3.50-3.59
Sm: 0.5000 0.0000 0.5000  6 Y 3.37-3.50, 4 Sm 3.59-3.66
Y: 0.0000 0.5827 0.1308  1 Tm 3.31, 6 Sm 3.37-3.53, 4 Y 3.50-3.59
Y: 0.5000 0.1742 0.6390  2 Sm 3.35-3.50, 4 Y 3.50-3.59, 2 Tm 3.60
Y: 0.5000 0.8258 0.3610  2 Sm 3.35-3.50, 4 Y 3.50-3.59, 2 Tm 3.60
Y: 0.0000 0.4411 0.5819  6 Sm 3.51-3.64, 5 Y 3.59-3.78, 1 Tm 3.72
Tm: 0.0000 0.6692 0.7088  3 Y 3.31-3.60, 4 Sm 3.49-3.62, 2 Tm 3.59
Sm: 0.5000 0.3006 0.4499  6 Y 3.53-3.64, 3 Sm 3.59-3.66, 2 Tm 3.73

Results
Spin magnetization in μB/f.u.: 0.0
Symmetry: Pbam, No. 55
DFT total energy in eV per atom: -5.39

=====

Record 3
The following is a DFT calculation (PBE) of SmY12Tm7 after structural relaxation.

Lattice parameters (Å, degrees): 8.6730 8.6730 8.6730 95.26 95.26 95.26
Closest atoms and distances in Å follow each position.
Sites, in units of the cell vectors:
Tm: 0.9186 0.6488 0.9812  1 Sm 3.05, 2 Y 3.06-3.34, 1 Tm 3.08
Y: 0.2493 0.6850 0.8128  3 Tm 3.34-3.54, 3 Y 3.35-3.57
Tm: 0.0188 0.0814 0.3512  1 Sm 3.05, 2 Y 3.06-3.34, 1 Tm 3.08
Tm: 0.9812 0.9186 0.6488  1 Sm 3.05, 2 Y 3.06-3.34, 1 Tm 3.08
Y: 0.5856 0.5240 0.8527  2 Tm 3.06, 2 Y 3.11-3.35
Y: 0.8527 0.5856 0.5240  2 Tm 3.06, 2 Y 3.11-3.35
Y: 0.1473 0.4144 0.4760  2 Tm 3.06, 2 Y 3.11-3.35
Tm: 0.5000 0.5000 0.5000  6 Y 3.06
Sm: 0.0000 0.0000 0.0000  6 Tm 3.05
Y: 0.3150 0.1872 0.7507  3 Tm 3.34-3.54, 3 Y 3.35-3.57
Y: 0.5240 0.8527 0.5856  2 Tm 3.06, 2 Y 3.11-3.35
Tm: 0.3512 0.0188 0.0814  1 Sm 3.05, 2 Y 3.06-3.34, 1 Tm 3.08
Tm: 0.6488 0.9812 0.9186  1 Sm 3.05, 2 Y 3.06-3.34, 1 Tm 3.08
Y: 0.1872 0.7507 0.3150  3 Tm 3.34-3.54, 3 Y 3.35-3.57
Y: 0.4760 0.1473 0.4144  2 Tm 3.06, 2 Y 3.11-3.35
Tm: 0.0814 0.3512 0.0188  1 Sm 3.05, 2 Y 3.06-3.34, 1 Tm 3.08
Y: 0.7507 0.3150 0.1872  3 Tm 3.34-3.54, 3 Y 3.35-3.57
Y: 0.4144 0.4760 0.1473  2 Tm 3.06, 2 Y 3.11-3.35
Y: 0.6850 0.8128 0.2493  3 Tm 3.34-3.54, 3 Y 3.35-3.57
Y: 0.8128 0.2493 0.6850  3 Tm 3.34-3.54, 3 Y 3.35-3.57

Results
Spin magnetization in μB/f.u.: 0.0
Symmetry: R-3, No. 148
DFT total energy in eV per atom: -5.39
Relative energy among the computed polymorphs in meV per atom: 0.0

=====

Record 4
The following is a DFT calculation (PBE) of Sm4YTm7 after structural relaxation.

Lattice parameters (Å, degrees): 6.7905 6.5160 11.7486 74.94 49.44 81.16
Closest atoms and distances in Å follow each position.
Sites, in units of the cell vectors:
Sm: 0.3060 0.1652 0.3090  7 Tm 3.38-3.65, 2 Sm 3.48-3.52
Sm: 0.6940 0.8348 0.6910  7 Tm 3.38-3.65, 2 Sm 3.48-3.52
Tm: 0.0600 0.3174 0.6451  5 Tm 3.34-3.67, 4 Sm 3.44-3.51
Tm: 0.9400 0.6826 0.3549  5 Tm 3.34-3.67, 4 Sm 3.44-3.51
Sm: 0.4834 0.3622 0.7119  8 Tm 3.30-3.67, 1 Y 3.40, 2 Sm 3.48-3.52
Tm: 0.2780 0.8125 0.6169  5 Tm 3.26-3.60, 4 Sm 3.30-3.52
Tm: 0.5000 0.0000 0.0000  4 Sm 3.38-3.65, 2 Y 3.40, 4 Tm 3.46-3.67
Sm: 0.5166 0.6378 0.2881  8 Tm 3.30-3.67, 1 Y 3.40, 2 Sm 3.48-3.52
Y: 0.0000 0.0000 0.0000  4 Tm 3.40-3.46, 2 Sm 3.40
Tm: 0.7220 0.1875 0.3831  5 Tm 3.26-3.60, 4 Sm 3.30-3.52
Tm: 0.1995 0.4861 0.0486  5 Tm 3.34-3.53, 4 Sm 3.36-3.67, 1 Y 3.46
Tm: 0.8005 0.5139 0.9514  5 Tm 3.34-3.53, 4 Sm 3.36-3.67, 1 Y 3.46

Results
Spin magnetization in μB/f.u.: 0.0
Symmetry: P-1, No. 2
DFT total energy in eV per atom: -4.63
Relative energy among the computed polymorphs in meV per atom: 0.0

=====

Record 5
The following is a DFT calculation (PBE) of Sm4Y15Tm after structural relaxation.

Lattice parameters (Å, degrees): 5.0615 5.0615 25.2815 90.00 90.00 90.00
Closest atoms and distances in Å follow each position.
Sites, in units of the cell vectors:
Sm: 0.0000 0.0000 0.6005  12 Y 3.58-3.59
Y: 0.0000 0.5000 0.5000  8 Y 3.58, 4 Sm 3.59
Y: 0.5000 0.0000 0.5000  8 Y 3.58, 4 Sm 3.59
Y: 0.5000 0.0000 0.0985  2 Tm 3.55, 8 Y 3.55-3.58, 2 Sm 3.59
Y: 0.0000 0.5000 0.7008  4 Sm 3.58, 8 Y 3.58-3.59
Y: 0.5000 0.0000 0.2992  4 Sm 3.58, 8 Y 3.58-3.59
Sm: 0.0000 0.0000 0.1991  12 Y 3.58-3.59
Sm: 0.0000 0.0000 0.8009  12 Y 3.58-3.59
Tm: 0.0000 0.0000 0.0000  12 Y 3.55-3.58
Y: 0.5000 0.5000 0.3997  4 Sm 3.58, 8 Y 3.58-3.59
Y: 0.5000 0.0000 0.9015  2 Tm 3.55, 8 Y 3.55-3.58, 2 Sm 3.59
Y: 0.5000 0.0000 0.7008  4 Sm 3.58, 8 Y 3.58-3.59
Y: 0.5000 0.5000 0.6003  4 Sm 3.58, 8 Y 3.58-3.59
Y: 0.5000 0.5000 0.8014  4 Sm 3.58, 8 Y 3.58-3.59
Y: 0.0000 0.5000 0.2992  4 Sm 3.58, 8 Y 3.58-3.59
Y: 0.0000 0.5000 0.0985  2 Tm 3.55, 8 Y 3.55-3.58, 2 Sm 3.59
Y: 0.0000 0.5000 0.9015  2 Tm 3.55, 8 Y 3.55-3.58, 2 Sm 3.59
Y: 0.5000 0.5000 0.1986  4 Sm 3.58, 8 Y 3.58-3.59
Y: 0.5000 0.5000 0.0000  8 Y 3.55, 4 Tm 3.58
Sm: 0.0000 0.0000 0.3995  12 Y 3.58-3.59

Results
Spin magnetization in μB/f.u.: 0.0
Symmetry: P4/mmm, No. 123
DFT total energy in eV per atom: -5.99

=====

Record 6
The following is a DFT calculation (PBE) of SmY7Tm3 after structural relaxation.

Lattice parameters (Å, degrees): 8.5685 7.0762 7.0762 120.00 90.00 90.00
Closest atoms and distances in Å follow each position.
Sites, in units of the cell vectors:
Y: 0.1147 0.1681 0.3363  2 Tm 3.49, 1 Sm 3.50, 8 Y 3.51-3.57
Y: 0.4516 0.8321 0.6643  2 Tm 3.50, 7 Y 3.51-3.56, 2 Sm 3.54
Y: 0.4516 0.3357 0.1679  2 Tm 3.50, 7 Y 3.51-3.56, 2 Sm 3.54
Tm: 0.7835 0.9997 0.4999  5 Y 3.49-3.51, 1 Sm 3.53, 4 Tm 3.54
Y: 0.1174 0.6667 0.3333  9 Y 3.51-3.54, 3 Tm 3.51
Y: 0.4516 0.8321 0.1679  2 Tm 3.50, 7 Y 3.51-3.56, 2 Sm 3.54
Tm: 0.7835 0.5001 0.4999  5 Y 3.49-3.51, 1 Sm 3.53, 4 Tm 3.54
Sm: 0.4480 0.3333 0.6667  9 Y 3.50-3.54, 3 Tm 3.53
Y: 0.1148 0.1681 0.8318  2 Tm 3.49, 1 Sm 3.50, 8 Y 3.51-3.57
Y: 0.1148 0.6637 0.8318  2 Tm 3.49, 1 Sm 3.50, 8 Y 3.51-3.57
Tm: 0.7835 0.5001 0.0003  5 Y 3.49-3.51, 1 Sm 3.53, 4 Tm 3.54

Results
Spin magnetization in μB/f.u.: 0.0
Symmetry: P3m1, No. 156
DFT total energy in eV per atom: -5.56
Relative energy among the computed polymorphs in meV per atom: 59.7